[1]
Density functional theory data (PBE-GGA) for an optimized crystal structure of Cd4HgAu.

Output
ΔE_f in eV per atom: -0.050
Energy in eV/cell: -7.5
Magnetization in μB per formula unit: 0.00
Offset from the most stable computed form in eV/atom: 0.002

Cell lengths 4.791, 4.791, 6.535 Å; angles 90.00, 90.00, 90.00 degrees
Space group P4/mmm (No. 123)
Asymmetric unit:
1 Cd 0.000 0.500 0.239 [4 per cell]
2 Hg 0.000 0.000 0.500 [1 per cell]
3 Au 0.500 0.500 0.000 [1 per cell]



[2]
Density functional theory data (PBE-GGA) for an optimized crystal structure of ReBC3.

Output
ΔE_f in eV per atom: 2.375
Energy in eV/cell: -34.9
Magnetization in μB per formula unit: 0.00
Offset from the most stable computed form in eV/atom: 0.000

Cell lengths 3.441, 3.441, 3.441 Å; angles 90.00, 90.00, 90.00 degrees
Space group Pm-3m (No. 221)
Asymmetric unit:
1 Re 0.000 0.000 0.000 [1 per cell]
2 B 0.500 0.500 0.500 [1 per cell]
3 C 0.000 0.500 0.500 [3 per cell]